# 1
{
  "formula": "Sr8Ag2Pd3",
  "functional": "GGA-PBE",
  "state": "relaxed",
  "lattice_angstrom": [[9.413, 0.000, 0.000], [0.000, 5.384, 0.000], [-3.217, 0.000, 8.887]],
  "species": ["Sr", "Sr", "Sr", "Sr", "Sr", "Sr", "Sr", "Sr", "Ag", "Ag", "Pd", "Pd", "Pd"],
  "fractional_positions": [[0.117, 0.000, 0.383], [0.127, 0.500, 0.864], [0.364, 0.500, 0.627], [0.380, 0.000, 0.120], [0.620, 0.000, 0.880], [0.636, 0.500, 0.373], [0.873, 0.500, 0.136], [0.883, 0.000, 0.617], [0.251, 0.500, 0.249], [0.749, 0.500, 0.751], [0.000, 0.500, 0.500], [0.253, 0.000, 0.753], [0.747, 0.000, 0.247]],
  "m_tot_mub_per_cell": 0.000,
  "formation_enthalpy_0k_ev_per_atom": -0.3538,
  "sg": "P2/m (10)",
  "crystal_system": "monoclinic"
}



# 2
{
  "formula": "Sr4AgPd3",
  "functional": "GGA-PBE",
  "state": "relaxed",
  "lattice_angstrom": [[4.287, 0.000, 0.000], [0.000, 4.628, 0.000], [0.000, 0.000, 11.581]],
  "species": ["Sr", "Sr", "Sr", "Sr", "Ag", "Pd", "Pd", "Pd"],
  "fractional_positions": [[0.000, 0.000, 0.000], [0.000, 0.500, 0.267], [0.500, 0.000, 0.482], [0.500, 0.500, 0.772], [0.000, 0.000, 0.699], [0.000, 0.500, 0.557], [0.500, 0.000, 0.204], [0.500, 0.500, 0.057]],
  "m_tot_mub_per_cell": 0.000,
  "formation_enthalpy_0k_ev_per_atom": -0.5409,
  "sg": "Pmm2 (25)",
  "crystal_system": "orthorhombic"
}



# 3
{
  "formula": "Sr6Ag5Pd",
  "functional": "GGA-PBE",
  "state": "relaxed",
  "lattice_angstrom": [[5.514, 0.000, 0.000], [0.000, 7.858, 0.000], [-2.736, 0.000, 8.197]],
  "species": ["Sr", "Sr", "Sr", "Sr", "Sr", "Sr", "Ag", "Ag", "Ag", "Ag", "Ag", "Pd"],
  "fractional_positions": [[0.000, 0.242, 0.000], [0.000, 0.758, 0.000], [0.337, 0.246, 0.674], [0.337, 0.754, 0.674], [0.663, 0.246, 0.326], [0.663, 0.754, 0.326], [0.168, 0.500, 0.335], [0.171, 0.000, 0.341], [0.500, 0.500, 0.000], [0.829, 0.000, 0.659], [0.832, 0.500, 0.665], [0.500, 0.000, 0.000]],
  "m_tot_mub_per_cell": 0.000,
  "formation_enthalpy_0k_ev_per_atom": -0.3157,
  "sg": "P2/m (10)",
  "crystal_system": "monoclinic"
}



# 4
{
  "formula": "Sr7Ag2Pd2",
  "functional": "GGA-PBE",
  "state": "relaxed",
  "lattice_angstrom": [[4.449, -5.980, 0.000], [4.449, 5.980, 0.000], [0.000, 0.000, 7.658]],
  "species": ["Sr", "Sr", "Sr", "Sr", "Sr", "Sr", "Sr", "Ag", "Ag", "Pd", "Pd"],
  "fractional_positions": [[0.000, 0.000, 0.000], [0.000, 0.500, 0.259], [0.000, 0.500, 0.741], [0.500, 0.000, 0.259], [0.500, 0.000, 0.741], [0.500, 0.500, 0.247], [0.500, 0.500, 0.753], [0.174, 0.174, 0.500], [0.826, 0.826, 0.500], [0.287, 0.713, 0.000], [0.713, 0.287, 0.000]],
  "m_tot_mub_per_cell": 0.000,
  "relative_energy_mev_per_atom": 82,
  "formation_enthalpy_0k_ev_per_atom": -0.2727,
  "sg": "Cmmm (65)",
  "crystal_system": "orthorhombic"
}



# 5
{
  "formula": "Sr5Ag2Pd2",
  "functional": "GGA-PBE",
  "state": "relaxed",
  "lattice_angstrom": [[8.250, -4.173, 0.000], [8.250, 4.173, 0.000], [0.000, 0.000, 8.329]],
  "species": ["Sr", "Sr", "Sr", "Sr", "Sr", "Sr", "Sr", "Sr", "Sr", "Sr", "Ag", "Ag", "Ag", "Ag", "Pd", "Pd", "Pd", "Pd"],
  "fractional_positions": [[0.000, 0.000, 0.000], [0.040, 0.699, 0.667], [0.199, 0.540, 0.167], [0.301, 0.960, 0.667], [0.460, 0.801, 0.167], [0.500, 0.500, 0.500], [0.540, 0.199, 0.833], [0.699, 0.040, 0.333], [0.801, 0.460, 0.833], [0.960, 0.301, 0.333], [0.205, 0.205, 0.000], [0.295, 0.295, 0.500], [0.705, 0.705, 0.500], [0.795, 0.795, 0.000], [0.121, 0.879, 0.378], [0.379, 0.621, 0.878], [0.621, 0.379, 0.122], [0.879, 0.121, 0.622]],
  "m_tot_mub_per_cell": 0.000,
  "formation_enthalpy_0k_ev_per_atom": -0.4118,
  "sg": "Cmce (64)",
  "crystal_system": "orthorhombic"
}



# 6
{
  "formula": "Sr4Ag5Pd2",
  "functional": "GGA-PBE",
  "state": "relaxed",
  "lattice_angstrom": [[7.652, 0.000, 0.000], [0.000, 4.302, 0.000], [-0.118, 0.000, 8.953]],
  "species": ["Sr", "Sr", "Sr", "Sr", "Ag", "Ag", "Ag", "Ag", "Ag", "Pd", "Pd"],
  "fractional_positions": [[0.217, 0.000, 0.358], [0.236, 0.000, 0.900], [0.764, 0.000, 0.100], [0.783, 0.000, 0.642], [0.146, 0.500, 0.624], [0.445, 0.500, 0.158], [0.500, 0.500, 0.500], [0.555, 0.500, 0.842], [0.854, 0.500, 0.376], [0.079, 0.500, 0.136], [0.921, 0.500, 0.864]],
  "m_tot_mub_per_cell": 0.000,
  "formation_enthalpy_0k_ev_per_atom": -0.3556,
  "sg": "P2/m (10)",
  "crystal_system": "monoclinic"
}



# 7
{
  "formula": "SrAg3Pd",
  "functional": "GGA-PBE",
  "state": "relaxed",
  "lattice_angstrom": [[2.890, -6.793, 0.000], [2.890, 6.793, 0.000], [0.000, 0.000, 5.619]],
  "species": ["Sr", "Sr", "Ag", "Ag", "Ag", "Ag", "Ag", "Ag", "Pd", "Pd"],
  "fractional_positions": [[0.094, 0.906, 0.750], [0.906, 0.094, 0.250], [0.109, 0.402, 0.750], [0.319, 0.681, 0.250], [0.402, 0.109, 0.250], [0.598, 0.891, 0.750], [0.681, 0.319, 0.750], [0.891, 0.598, 0.250], [0.500, 0.500, 0.000], [0.500, 0.500, 0.500]],
  "m_tot_mub_per_cell": 0.000,
  "relative_energy_mev_per_atom": 10,
  "formation_enthalpy_0k_ev_per_atom": -0.2333,
  "sg": "Cmcm (63)",
  "crystal_system": "orthorhombic"
}



# 8
{
  "formula": "Sr7Ag2Pd2",
  "functional": "GGA-PBE",
  "state": "relaxed",
  "lattice_angstrom": [[-2.205, 8.436, 5.201], [2.205, -8.436, 5.201], [2.205, 8.436, -5.201]],
  "species": ["Sr", "Sr", "Sr", "Sr", "Sr", "Sr", "Sr", "Ag", "Ag", "Pd", "Pd"],
  "fractional_positions": [[0.000, 0.000, 0.000], [0.289, 0.408, 0.881], [0.301, 0.614, 0.687], [0.527, 0.408, 0.119], [0.608, 0.248, 0.360], [0.888, 0.248, 0.640], [0.927, 0.614, 0.313], [0.237, 0.737, 0.500], [0.668, 0.668, 0.000], [0.153, 0.913, 0.240], [0.673, 0.913, 0.760]],
  "m_tot_mub_per_cell": 0.000,
  "relative_energy_mev_per_atom": 0,
  "formation_enthalpy_0k_ev_per_atom": -0.3550,
  "sg": "Imm2 (44)",
  "crystal_system": "orthorhombic"
}



# 9
{
  "formula": "SrAg9Pd2",
  "functional": "GGA-PBE",
  "state": "relaxed",
  "lattice_angstrom": [[-5.692, 5.692, 3.685], [5.692, -5.692, 3.685], [5.692, 5.692, -3.685]],
  "species": ["Sr", "Sr", "Ag", "Ag", "Ag", "Ag", "Ag", "Ag", "Ag", "Ag", "Ag", "Ag", "Ag", "Ag", "Ag", "Ag", "Ag", "Ag", "Ag", "Ag", "Pd", "Pd", "Pd", "Pd"],
  "fractional_positions": [[0.375, 0.625, 0.750], [0.625, 0.375, 0.250], [0.125, 0.875, 0.250], [0.136, 0.560, 0.332], [0.136, 0.804, 0.576], [0.196, 0.272, 0.332], [0.196, 0.864, 0.924], [0.272, 0.196, 0.832], [0.272, 0.440, 0.076], [0.440, 0.272, 0.576], [0.440, 0.864, 0.168], [0.560, 0.136, 0.832], [0.560, 0.728, 0.424], [0.728, 0.560, 0.924], [0.728, 0.804, 0.168], [0.804, 0.136, 0.076], [0.804, 0.728, 0.668], [0.864, 0.196, 0.424], [0.864, 0.440, 0.668], [0.875, 0.125, 0.750], [0.000, 0.000, 0.000], [0.000, 0.000, 0.500], [0.000, 0.500, 0.000], [0.500, 0.000, 0.500]],
  "m_tot_mub_per_cell": 0.000,
  "formation_enthalpy_0k_ev_per_atom": -0.1075,
  "sg": "I4_1/amd (141)",
  "crystal_system": "tetragonal"
}



# 10
{
  "formula": "SrAgPd2",
  "functional": "GGA-PBE",
  "state": "relaxed",
  "lattice_angstrom": [[2.891, -3.407, 0.000], [2.891, 3.407, 0.000], [0.000, 0.000, 4.689]],
  "species": ["Sr", "Ag", "Pd", "Pd"],
  "fractional_positions": [[0.000, 0.000, 0.000], [0.500, 0.500, 0.000], [0.298, 0.702, 0.500], [0.702, 0.298, 0.500]],
  "m_tot_mub_per_cell": 0.000,
  "relative_energy_mev_per_atom": 283,
  "formation_enthalpy_0k_ev_per_atom": -0.0920,
  "sg": "Cmmm (65)",
  "crystal_system": "orthorhombic"
}



# 11
{
  "formula": "Sr4Ag3Pd2",
  "functional": "GGA-PBE",
  "state": "relaxed",
  "lattice_angstrom": [[8.338, -2.224, 0.000], [8.338, 2.224, 0.000], [-2.522, 0.000, 7.028]],
  "species": ["Sr", "Sr", "Sr", "Sr", "Ag", "Ag", "Ag", "Pd", "Pd"],
  "fractional_positions": [[0.064, 0.064, 0.344], [0.266, 0.266, 0.806], [0.734, 0.734, 0.194], [0.936, 0.936, 0.656], [0.402, 0.402, 0.279], [0.500, 0.500, 0.000], [0.598, 0.598, 0.721], [0.108, 0.108, 0.967], [0.892, 0.892, 0.033]],
  "m_tot_mub_per_cell": 0.000,
  "formation_enthalpy_0k_ev_per_atom": -0.3594,
  "sg": "C2/m (12)",
  "crystal_system": "monoclinic"
}



# 12
{
  "formula": "Sr2Ag2Pd15",
  "functional": "GGA-PBE",
  "state": "relaxed",
  "lattice_angstrom": [[4.663, 2.692, 4.543], [-4.663, 2.692, 4.543], [0.000, -5.384, 4.543]],
  "species": ["Sr", "Sr", "Ag", "Ag", "Pd", "Pd", "Pd", "Pd", "Pd", "Pd", "Pd", "Pd", "Pd", "Pd", "Pd", "Pd", "Pd", "Pd", "Pd"],
  "fractional_positions": [[0.158, 0.158, 0.158], [0.842, 0.842, 0.842], [0.400, 0.400, 0.400], [0.600, 0.600, 0.600], [0.000, 0.500, 0.500], [0.154, 0.154, 0.658], [0.154, 0.658, 0.154], [0.198, 0.500, 0.802], [0.198, 0.802, 0.500], [0.342, 0.846, 0.846], [0.500, 0.000, 0.500], [0.500, 0.198, 0.802], [0.500, 0.500, 0.000], [0.500, 0.802, 0.198], [0.658, 0.154, 0.154], [0.802, 0.198, 0.500], [0.802, 0.500, 0.198], [0.846, 0.342, 0.846], [0.846, 0.846, 0.342]],
  "m_tot_mub_per_cell": 0.000,
  "formation_enthalpy_0k_ev_per_atom": -0.2300,
  "sg": "R-3m (166)",
  "crystal_system": "trigonal"
}



# 13
{
  "formula": "Sr2Ag5Pd5",
  "functional": "GGA-PBE",
  "state": "relaxed",
  "lattice_angstrom": [[4.518, 0.000, 0.000], [0.000, 5.628, 0.000], [0.000, 0.000, 9.719]],
  "species": ["Sr", "Sr", "Ag", "Ag", "Ag", "Ag", "Ag", "Pd", "Pd", "Pd", "Pd", "Pd"],
  "fractional_positions": [[0.000, 0.000, 0.000], [0.000, 0.500, 0.500], [0.000, 0.000, 0.327], [0.000, 0.000, 0.673], [0.000, 0.500, 0.167], [0.000, 0.500, 0.833], [0.500, 0.000, 0.500], [0.500, 0.250, 0.248], [0.500, 0.250, 0.752], [0.500, 0.500, 0.000], [0.500, 0.750, 0.248], [0.500, 0.750, 0.752]],
  "m_tot_mub_per_cell": 0.000,
  "formation_enthalpy_0k_ev_per_atom": -0.3255,
  "sg": "Pmmm (47)",
  "crystal_system": "orthorhombic"
}



# 14
{
  "formula": "Sr6AgPd3",
  "functional": "GGA-PBE",
  "state": "relaxed",
  "lattice_angstrom": [[11.298, 0.000, 0.000], [0.000, 4.363, 0.000], [-5.188, 0.000, 14.187]],
  "species": ["Sr", "Sr", "Sr", "Sr", "Sr", "Sr", "Sr", "Sr", "Sr", "Sr", "Sr", "Sr", "Ag", "Ag", "Pd", "Pd", "Pd", "Pd", "Pd", "Pd"],
  "fractional_positions": [[0.013, 0.250, 0.116], [0.063, 0.750, 0.409], [0.244, 0.250, 0.816], [0.334, 0.250, 0.594], [0.349, 0.250, 0.328], [0.364, 0.750, 0.079], [0.636, 0.250, 0.921], [0.651, 0.750, 0.672], [0.666, 0.750, 0.406], [0.756, 0.750, 0.184], [0.937, 0.250, 0.591], [0.987, 0.750, 0.884], [0.428, 0.750, 0.771], [0.572, 0.250, 0.229], [0.157, 0.750, 0.649], [0.172, 0.250, 0.990], [0.413, 0.750, 0.476], [0.587, 0.250, 0.524], [0.828, 0.750, 0.010], [0.843, 0.250, 0.351]],
  "m_tot_mub_per_cell": 0.000,
  "formation_enthalpy_0k_ev_per_atom": -0.4262,
  "sg": "P2_1/m (11)",
  "crystal_system": "monoclinic"
}



# 15
{
  "formula": "Sr8Ag2Pd",
  "functional": "GGA-PBE",
  "state": "relaxed",
  "lattice_angstrom": [[6.882, -4.967, 0.000], [6.882, 4.967, 0.000], [-2.323, 0.000, 7.048]],
  "species": ["Sr", "Sr", "Sr", "Sr", "Sr", "Sr", "Sr", "Sr", "Ag", "Ag", "Pd"],
  "fractional_positions": [[0.082, 0.082, 0.284], [0.151, 0.559, 0.256], [0.369, 0.369, 0.756], [0.441, 0.849, 0.744], [0.559, 0.151, 0.256], [0.631, 0.631, 0.244], [0.849, 0.441, 0.744], [0.918, 0.918, 0.716], [0.181, 0.181, 0.937], [0.819, 0.819, 0.063], [0.500, 0.500, 0.500]],
  "m_tot_mub_per_cell": 0.000,
  "formation_enthalpy_0k_ev_per_atom": -0.2271,
  "sg": "C2/m (12)",
  "crystal_system": "monoclinic"
}



# 16
{
  "formula": "Sr3Ag3Pd",
  "functional": "GGA-PBE",
  "state": "relaxed",
  "lattice_angstrom": [[5.749, -2.275, 0.000], [5.749, 2.275, 0.000], [-5.206, 0.000, 15.484]],
  "species": ["Sr", "Sr", "Sr", "Sr", "Sr", "Sr", "Ag", "Ag", "Ag", "Ag", "Ag", "Ag", "Pd", "Pd"],
  "fractional_positions": [[0.048, 0.048, 0.395], [0.104, 0.104, 0.921], [0.252, 0.252, 0.243], [0.748, 0.748, 0.757], [0.896, 0.896, 0.079], [0.952, 0.952, 0.605], [0.367, 0.367, 0.459], [0.393, 0.393, 0.922], [0.462, 0.462, 0.767], [0.538, 0.538, 0.233], [0.607, 0.607, 0.078], [0.633, 0.633, 0.541], [0.259, 0.259, 0.618], [0.741, 0.741, 0.382]],
  "m_tot_mub_per_cell": 0.000,
  "formation_enthalpy_0k_ev_per_atom": -0.3640,
  "sg": "C2/m (12)",
  "crystal_system": "monoclinic"
}



# 17
{
  "formula": "Sr2AgPd2",
  "functional": "GGA-PBE",
  "state": "relaxed",
  "lattice_angstrom": [[-2.928, 2.928, 4.063], [2.928, -2.928, 4.063], [2.928, 2.928, -4.063]],
  "species": ["Sr", "Sr", "Ag", "Pd", "Pd"],
  "fractional_positions": [[0.250, 0.750, 0.500], [0.750, 0.250, 0.500], [0.000, 0.000, 0.000], [0.339, 0.339, 0.000], [0.661, 0.661, 0.000]],
  "m_tot_mub_per_cell": 0.000,
  "relative_energy_mev_per_atom": 188,
  "formation_enthalpy_0k_ev_per_atom": -0.3582,
  "sg": "I4/mmm (139)",
  "crystal_system": "tetragonal"
}



# 18
{
  "formula": "SrAg4Pd",
  "functional": "GGA-PBE",
  "state": "relaxed",
  "lattice_angstrom": [[2.177, -8.272, 0.000], [2.177, 8.272, 0.000], [0.000, 0.000, 7.284]],
  "species": ["Sr", "Sr", "Ag", "Ag", "Ag", "Ag", "Ag", "Ag", "Ag", "Ag", "Pd", "Pd"],
  "fractional_positions": [[0.128, 0.872, 0.750], [0.872, 0.128, 0.250], [0.069, 0.931, 0.250], [0.329, 0.671, 0.562], [0.329, 0.671, 0.938], [0.500, 0.500, 0.000], [0.500, 0.500, 0.500], [0.671, 0.329, 0.062], [0.671, 0.329, 0.438], [0.931, 0.069, 0.750], [0.238, 0.762, 0.250], [0.762, 0.238, 0.750]],
  "m_tot_mub_per_cell": 0.000,
  "relative_energy_mev_per_atom": 62,
  "formation_enthalpy_0k_ev_per_atom": -0.1211,
  "sg": "Cmcm (63)",
  "crystal_system": "orthorhombic"
}



# 19
{
  "formula": "SrAg3Pd",
  "functional": "GGA-PBE",
  "state": "relaxed",
  "lattice_angstrom": [[5.616, 0.000, 0.000], [0.000, 5.616, 0.000], [0.000, 0.000, 5.616]],
  "species": ["Sr", "Ag", "Ag", "Ag", "Pd"],
  "fractional_positions": [[0.000, 0.000, 0.000], [0.000, 0.000, 0.500], [0.000, 0.500, 0.000], [0.500, 0.000, 0.000], [0.500, 0.500, 0.500]],
  "m_tot_mub_per_cell": 0.000,
  "relative_energy_mev_per_atom": 1505,
  "formation_enthalpy_0k_ev_per_atom": 1.2611,
  "sg": "Pm-3m (221)",
  "crystal_system": "cubic"
}



# 20
{
  "formula": "SrAg6Pd6",
  "functional": "GGA-PBE",
  "state": "relaxed",
  "lattice_angstrom": [[-2.697, 4.711, 4.717], [2.697, -4.711, 4.717], [2.697, 4.711, -4.717]],
  "species": ["Sr", "Ag", "Ag", "Ag", "Ag", "Ag", "Ag", "Pd", "Pd", "Pd", "Pd", "Pd", "Pd"],
  "fractional_positions": [[0.000, 0.000, 0.000], [0.211, 0.500, 0.711], [0.349, 0.349, 0.000], [0.353, 0.000, 0.353], [0.647, 0.000, 0.647], [0.651, 0.651, 0.000], [0.789, 0.500, 0.289], [0.000, 0.000, 0.500], [0.000, 0.500, 0.000], [0.227, 0.727, 0.500], [0.500, 0.000, 0.000], [0.500, 0.500, 0.500], [0.773, 0.273, 0.500]],
  "m_tot_mub_per_cell": 0.000,
  "formation_enthalpy_0k_ev_per_atom": -0.1765,
  "sg": "Immm (71)",
  "crystal_system": "orthorhombic"
}